Entry from Alexandria: a relaxed NdMg4Rh crystal (GGA-PBE).

Cell and atoms, written as extended XYZ:
```
12
Lattice="-3.853 -0.771 1.648 1.774 -7.176 0.791 3.068 1.634 7.939" Properties=species:S:1:pos:R:3 pbc="T T T"
Nd 3.355 -3.040 6.425
Nd 1.486 -2.502 2.306
Mg 1.534 0.817 3.969
Mg 0.000 0.000 0.000
Mg 2.078 -6.052 7.538
Mg -1.089 -0.261 2.840
Mg -0.495 -5.294 1.877
Mg 1.483 -1.019 8.501
Mg 0.653 -4.683 4.846
Mg 0.336 -1.630 5.532
Rh 2.679 -0.304 6.123
Rh 2.163 -5.238 2.607
```

DFT total energy ... -3.396 eV per atom
V ... 137.27 Å³/f.u.
Size of the total moment ... 0.0 μB per cell
Energy of formation ... -7.21 kcal/mol of atoms
DOS(E_F) ... 8.371 states/eV/cell

=====

Entry from Alexandria: a relaxed MgTc2W crystal (GGA-PBE).

Cell and atoms, written as extended XYZ:
```
4
Lattice="-2.294 -1.025 -1.107 0.440 -3.540 2.365 -2.844 2.213 3.843" Properties=species:S:1:pos:R:3 pbc="T T T"
Mg -3.078 -0.608 3.535
Tc -2.838 2.209 3.836
Tc -1.642 -1.726 1.595
W -1.405 1.094 1.899
```

DFT total energy ... -8.549 eV per atom
V ... 61.92 Å³/f.u.
Size of the total moment ... 0.0 μB per cell
Energy of formation ... 6.24 kcal/mol of atoms
DOS(E_F) ... 2.503 states/eV/cell